(i)
An optimized crystal structure of PrThAs2, computed with PBE-GGA.

crystal system	trigonal
space group	R-3m, No. 166
calculated density	7.8	g/cm3

Lattice parameters (Å, degrees): 4.2811 4.2811 7.4088 73.24 73.24 59.98
Fractional coordinates of all 4 atoms:
Pr 0.5000 0.5000 0.5000
Th 0.0000 0.0000 0.0000
As 0.7480 0.7480 0.7561
As 0.2520 0.2520 0.2439

***

(ii)
An optimized crystal structure of PrThAs2, computed with PBE-GGA.

crystal system	trigonal
space group	R3m, No. 160
calculated density	7.7	g/cm3

Lattice parameters (Å, degrees): 4.2222 4.2222 7.7143 74.12 74.12 60.00
Fractional coordinates of all 4 atoms:
Pr 0.4961 0.4961 0.5116
Th 0.6696 0.6696 0.9911
As 0.0808 0.0808 0.7577
As 0.2535 0.2535 0.2396

***

(iii)
An optimized crystal structure of PrThAs2, computed with PBE-GGA.

crystal system	hexagonal
space group	P6_3/mmc, No. 194
calculated density	7.8	g/cm3

Lattice parameters (Å, degrees): 4.2561 4.2561 14.1433 90.00 90.00 120.00
Fractional coordinates of all 8 atoms:
Pr 0.6667 0.3333 0.2500
Pr 0.3333 0.6667 0.7500
Th 0.0000 0.0000 0.5000
Th 0.0000 0.0000 0.0000
As 0.3333 0.6667 0.3796
As 0.6667 0.3333 0.8796
As 0.6667 0.3333 0.6204
As 0.3333 0.6667 0.1204

***

Unit: meV per atom. Relative energies: (i) 0; (ii) 139; (iii) 34.

***

(i)
An optimized crystal structure of Pr3Zn2As6, computed with PBE-GGA.

crystal system	monoclinic
space group	P2_1/m, No. 11
calculated density	6.1	g/cm3

Lattice parameters (Å, degrees): 5.8096 7.6342 12.7561 74.01 90.00 90.00
Fractional coordinates of all 22 atoms:
Pr 0.2500 0.0617 0.8988
Pr 0.2500 0.2806 0.1817
Pr 0.2500 0.7466 0.5236
Pr 0.7500 0.7194 0.8183
Pr 0.7500 0.9383 0.1012
Pr 0.7500 0.2534 0.4764
Zn 0.2500 0.4658 0.8942
Zn 0.2500 0.1109 0.6397
Zn 0.7500 0.5342 0.1058
Zn 0.7500 0.8891 0.3603
As 0.2500 0.7952 0.7564
As 0.2500 0.6793 0.0480
As 0.2500 0.8958 0.1654
As 0.2500 0.5116 0.3523
As 0.2500 0.1719 0.4377
As 0.2500 0.3954 0.6950
As 0.7500 0.8281 0.5623
As 0.7500 0.1042 0.8346
As 0.7500 0.3207 0.9520
As 0.7500 0.6046 0.3050
As 0.7500 0.2048 0.2436
As 0.7500 0.4884 0.6477

***

(ii)
An optimized crystal structure of Pr3Zn2As6, computed with PBE-GGA.

crystal system	orthorhombic
space group	Pmmn, No. 59
calculated density	6.6	g/cm3

Lattice parameters (Å, degrees): 4.0286 10.3264 12.1802 90.00 90.00 90.00
Fractional coordinates of all 22 atoms:
Pr 0.5000 0.7346 0.5000
Pr 0.5000 0.7288 0.1623
Pr 0.0000 0.2712 0.6623
Pr 0.0000 0.2712 0.3377
Pr 0.0000 0.2654 0.0000
Pr 0.5000 0.7288 0.8377
Zn 0.0000 0.9975 0.8459
Zn 0.0000 0.9975 0.1541
Zn 0.5000 0.0025 0.3459
Zn 0.5000 0.0025 0.6541
As 0.5000 0.4961 0.0000
As 0.5000 0.5028 0.6669
As 0.5000 0.1608 0.5000
As 0.5000 0.1510 0.1684
As 0.0000 0.8490 0.6684
As 0.0000 0.8490 0.3316
As 0.0000 0.8392 0.0000
As 0.0000 0.4972 0.8331
As 0.0000 0.5039 0.5000
As 0.0000 0.4972 0.1669
As 0.5000 0.5028 0.3331
As 0.5000 0.1510 0.8316

***

Unit: meV per atom. Relative energies: (i) 284; (ii) 0.

***

(i)
An optimized crystal structure of PrZrAs2, computed with PBE-GGA.

crystal system	trigonal
space group	R-3m, No. 166
calculated density	6.6	g/cm3

Lattice parameters (Å, degrees): 4.0521 4.0521 7.1304 73.49 73.49 60.00
Fractional coordinates of all 4 atoms:
Pr 0.5000 0.5000 0.5000
As 0.2586 0.2586 0.2241
As 0.7414 0.7414 0.7759
Zr 0.0000 0.0000 0.0000

***

(ii)
An optimized crystal structure of PrZrAs2, computed with PBE-GGA.

crystal system	trigonal
space group	R3m, No. 160
calculated density	6.5	g/cm3

Lattice parameters (Å, degrees): 3.9846 3.9846 7.4182 74.42 74.42 60.00
Fractional coordinates of all 4 atoms:
Pr 0.4964 0.4964 0.5108
Zr 0.6700 0.6700 0.9900
As 0.0738 0.0738 0.7787
As 0.2599 0.2599 0.2204

***

Unit: meV per atom. Relative energies: (i) 0; (ii) 87.

***

(i)
An optimized crystal structure of As4Pt, computed with PBE-GGA.

crystal system	cubic
space group	Pm-3m, No. 221
calculated density	7.0	g/cm3

Lattice parameters (Å, degrees): 4.9027 4.9027 4.9027 90.00 90.00 90.00
Fractional coordinates of all 5 atoms:
As 0.0000 0.0000 0.0000
As 0.5000 0.0000 0.5000
As 0.0000 0.5000 0.5000
As 0.5000 0.5000 0.0000
Pt 0.5000 0.5000 0.5000

***

(ii)
An optimized crystal structure of As4Pt, computed with PBE-GGA.

crystal system	monoclinic
space group	P2_1/c, No. 14
calculated density	8.0	g/cm3

Lattice parameters (Å, degrees): 5.3578 5.4176 7.2087 102.40 90.00 90.00
Fractional coordinates of all 10 atoms:
As 0.3214 0.2183 0.2479
As 0.8214 0.7817 0.2521
As 0.6786 0.7817 0.7521
As 0.1786 0.2183 0.7479
As 0.8298 0.3612 0.5629
As 0.3298 0.6388 0.9371
As 0.1702 0.6388 0.4371
As 0.6702 0.3612 0.0629
Pt 0.0000 0.0000 0.0000
Pt 0.5000 0.0000 0.5000

***

Unit: meV per atom. Relative energies: (i) 897; (ii) 0.